1.
Material: TmNiGe
Method: DFT, PBE
State: relaxed

a = 4.2031 Å, b = 6.8203 Å, c = 7.2325 Å
α = 90.00°, β = 90.00°, γ = 90.00°
Last column: nearest neighbours and their distance in Å.
Positions (direct):
Tm (0.7500, 0.0080, 0.7935)  6 Ni 2.89-3.13, 6 Ge 2.93-3.05
Tm (0.2500, 0.9920, 0.2065)  6 Ni 2.89-3.13, 6 Ge 2.93-3.05
Tm (0.2500, 0.4920, 0.2935)  6 Ni 2.89-3.13, 6 Ge 2.93-3.05
Tm (0.7500, 0.5080, 0.7065)  6 Ni 2.89-3.13, 6 Ge 2.93-3.05
Ni (0.7500, 0.3061, 0.0815)  4 Ge 2.44-2.67
Ni (0.2500, 0.6939, 0.9185)  4 Ge 2.44-2.67
Ni (0.2500, 0.1939, 0.5815)  4 Ge 2.44-2.67
Ni (0.7500, 0.8061, 0.4185)  4 Ge 2.44-2.67
Ge (0.7500, 0.1974, 0.4109)  4 Ni 2.44-2.67
Ge (0.2500, 0.3026, 0.9109)  4 Ni 2.44-2.67
Ge (0.7500, 0.6974, 0.0891)  4 Ni 2.44-2.67
Ge (0.2500, 0.8026, 0.5891)  4 Ni 2.44-2.67

Summary:
As for the space group: No. 62. Its formation energy is -0.817 eV/atom. The calculation puts the density of states at the Fermi level at 1.689 states/eV/f.u. As for the crystal system: orthorhombic.

=====

2.
Material: TmNi3Ge
Method: DFT, PBE
State: relaxed

a = 5.6789 Å, b = 5.6789 Å, c = 11.3851 Å
α = 90.00°, β = 90.00°, γ = 120.00°
Last column: nearest neighbours and their distance in Å.
Positions (direct):
Ni (0.8641, 0.7282, 0.2500)  2 Ni 2.32, 2 Ge 2.33
Ni (0.8641, 0.1359, 0.2500)  2 Ni 2.32, 2 Ge 2.33
Ni (0.1359, 0.2718, 0.7500)  2 Ni 2.32, 2 Ge 2.33
Ni (0.2718, 0.1359, 0.2500)  2 Ni 2.32, 2 Ge 2.33
Ni (0.5000, 0.5000, 0.0000)  2 Ge 2.26
Ni (0.1359, 0.8641, 0.7500)  2 Ni 2.32, 2 Ge 2.33
Ni (0.5000, 0.0000, 0.0000)  2 Ge 2.26
Ni (0.5000, 0.0000, 0.5000)  2 Ge 2.26
Ni (0.0000, 0.5000, 0.0000)  2 Ge 2.26
Ni (0.7282, 0.8641, 0.7500)  2 Ni 2.32, 2 Ge 2.33
Ni (0.0000, 0.5000, 0.5000)  2 Ge 2.26
Ni (0.5000, 0.5000, 0.5000)  2 Ge 2.26
Ge (0.3333, 0.6667, 0.8628)  6 Ni 2.26-2.33
Ge (0.6667, 0.3333, 0.3628)  6 Ni 2.26-2.33
Ge (0.3333, 0.6667, 0.6372)  6 Ni 2.26-2.33
Ge (0.6667, 0.3333, 0.1372)  6 Ni 2.26-2.33
Tm (0.6667, 0.3333, 0.7500)  6 Ni 2.86
Tm (0.0000, 0.0000, 0.0000)  12 Ni 2.84-3.14
Tm (0.0000, 0.0000, 0.5000)  12 Ni 2.84-3.14
Tm (0.3333, 0.6667, 0.2500)  6 Ni 2.86

Summary:
As for the space group: No. 194. The relative energy among the computed polymorphs comes out at 0 meV/atom. Its formation energy is -0.268 eV/atom. The calculation puts the density of states at the Fermi level at 1.308 states/eV/f.u. As for the crystal system: hexagonal.

=====

3.
Material: TmNiGe
Method: DFT, PBE
State: relaxed

a = 4.3175 Å, b = 4.3175 Å, c = 4.3175 Å
α = 60.00°, β = 60.00°, γ = 60.00°
Last column: nearest neighbours and their distance in Å.
Positions (direct):
Tm (0.5000, 0.5000, 0.5000)  4 Ni 2.64
Ge (0.0000, 0.0000, 0.0000)  4 Ni 2.64
Ni (0.2500, 0.2500, 0.2500)  4 Ge 2.64, 4 Tm 2.64

Summary:
As for the space group: No. 216. Its formation energy is -0.612 eV/atom. The calculation puts the density of states at the Fermi level at 5.323 states/eV/f.u. As for the crystal system: cubic.

=====

4.
Material: Tm2Ni3Ge2
Method: DFT, PBE
State: relaxed

a = 3.7949 Å, b = 5.4023 Å, c = 6.5792 Å
α = 113.08°, β = 90.00°, γ = 110.56°
Last column: nearest neighbours and their distance in Å.
Positions (direct):
Ni (0.6137, 0.2274, 0.4312)  3 Ge 2.43-2.49, 1 Ni 2.58
Ni (0.3863, 0.7726, 0.5688)  3 Ge 2.43-2.49, 1 Ni 2.58
Ni (0.5000, 0.0000, 0.0000)  4 Ge 2.51, 2 Ni 2.58
Ge (0.8492, 0.6984, 0.7704)  5 Ni 2.43-2.51
Ge (0.1508, 0.3016, 0.2296)  5 Ni 2.43-2.51
Tm (0.1319, 0.2638, 0.7604)  6 Ni 2.83-3.10, 4 Ge 2.88-3.01
Tm (0.8681, 0.7362, 0.2396)  6 Ni 2.83-3.10, 4 Ge 2.88-3.01

Summary:
As for the space group: No. 12. Its formation energy is -0.652 eV/atom. The calculation puts the density of states at the Fermi level at 4.536 states/eV/f.u. As for the crystal system: monoclinic.

=====

5.
Material: TmNiGe
Method: DFT, PBE
State: relaxed

a = 5.4497 Å, b = 5.4497 Å, c = 6.7906 Å
α = 51.90°, β = 51.90°, γ = 44.27°
Last column: nearest neighbours and their distance in Å.
Positions (direct):
Ge (0.1705, 0.1705, 0.8978)  3 Ni 2.39-2.59
Ge (0.8295, 0.8295, 0.1022)  3 Ni 2.39-2.59
Ni (0.8322, 0.8322, 0.7187)  3 Ge 2.39-2.59, 1 Ni 2.63
Ni (0.1678, 0.1678, 0.2813)  3 Ge 2.39-2.59, 1 Ni 2.63
Tm (0.5522, 0.5522, 0.6883)  6 Ni 2.93-3.23, 6 Ge 2.96-3.15
Tm (0.4478, 0.4478, 0.3117)  6 Ni 2.93-3.23, 6 Ge 2.96-3.15

Summary:
As for the space group: No. 12. Its formation energy is -0.732 eV/atom. The calculation puts the density of states at the Fermi level at 1.255 states/eV/f.u. As for the crystal system: monoclinic.

=====

6.
Material: Tm3Ni7Ge2
Method: DFT, PBE
State: relaxed

a = 3.8560 Å, b = 3.9299 Å, c = 12.2942 Å
α = 99.20°, β = 90.00°, γ = 90.00°
Last column: nearest neighbours and their distance in Å.
Positions (direct):
Ni (0.5000, 0.9233, 0.8466)  2 Ge 2.32
Ni (0.0000, 0.5777, 0.1555)  2 Ge 2.33
Ni (0.0000, 0.7749, 0.5498)  2 Ni 2.31, 1 Ge 2.32
Ni (0.0000, 0.2251, 0.4502)  2 Ni 2.31, 1 Ge 2.32
Ni (0.5000, 0.0767, 0.1534)  2 Ge 2.32
Ni (0.0000, 0.4223, 0.8445)  2 Ge 2.33
Ni (0.0000, 0.0000, 0.0000)  8 Ni 2.68-2.72, 4 Tm 2.75
Ge (0.0000, 0.1296, 0.2592)  5 Ni 2.32-2.33
Ge (0.0000, 0.8704, 0.7408)  5 Ni 2.32-2.33
Tm (0.5000, 0.6817, 0.3635)  10 Ni 2.95-3.22, 4 Ge 3.03
Tm (0.5000, 0.3183, 0.6365)  10 Ni 2.95-3.22, 4 Ge 3.03
Tm (0.5000, 0.5000, 0.0000)  12 Ni 2.70-2.75

Summary:
As for the space group: No. 65. The relative energy among the computed polymorphs comes out at 21 meV/atom. Its formation energy is -0.512 eV/atom. The calculation puts the density of states at the Fermi level at 8.676 states/eV/f.u. As for the crystal system: orthorhombic.

=====

7.
Material: TmNi6Ge2
Method: DFT, PBE
State: relaxed

a = 3.9648 Å, b = 3.9648 Å, c = 7.8396 Å
α = 90.00°, β = 90.00°, γ = 90.00°
Last column: nearest neighbours and their distance in Å.
Positions (direct):
Ge (0.5000, 0.5000, 0.8401)  4 Ni 2.32, 1 Ge 2.51
Ge (0.5000, 0.5000, 0.1599)  4 Ni 2.32, 1 Ge 2.51
Ni (0.5000, 0.0000, 0.6872)  2 Ge 2.32, 4 Ni 2.47
Ni (0.5000, 0.5000, 0.5000)  8 Ni 2.47, 2 Ge 2.67
Ni (0.0000, 0.0000, 0.5000)  8 Ni 2.47
Ni (0.0000, 0.5000, 0.3128)  2 Ge 2.32, 4 Ni 2.47
Ni (0.0000, 0.5000, 0.6872)  2 Ge 2.32, 4 Ni 2.47
Ni (0.5000, 0.0000, 0.3128)  2 Ge 2.32, 4 Ni 2.47
Tm (0.0000, 0.0000, 0.0000)  8 Ge 3.07, 8 Ni 3.15

Summary:
As for the space group: No. 123. Its formation energy is -0.299 eV/atom. The calculation puts the density of states at the Fermi level at 13.294 states/eV/f.u. As for the crystal system: tetragonal.

=====

8.
Material: Tm3Ni7Ge2
Method: DFT, PBE
State: relaxed

a = 5.1293 Å, b = 5.1293 Å, c = 8.3846 Å
α = 72.19°, β = 72.19°, γ = 60.00°
Last column: nearest neighbours and their distance in Å.
Positions (direct):
Ni (0.4193, 0.9173, 0.2442)  2 Ge 2.41-2.44, 5 Ni 2.49-2.57
Ni (0.5807, 0.5807, 0.7558)  2 Ge 2.41-2.44, 5 Ni 2.49-2.57
Ni (0.0827, 0.5807, 0.7558)  2 Ge 2.41-2.44, 5 Ni 2.49-2.57
Ni (0.9173, 0.4193, 0.2442)  2 Ge 2.41-2.44, 5 Ni 2.49-2.57
Ni (0.5000, 0.5000, 0.5000)  6 Ni 2.49
Ni (0.4193, 0.4193, 0.2442)  2 Ge 2.41-2.44, 5 Ni 2.49-2.57
Ni (0.5807, 0.0827, 0.7558)  2 Ge 2.41-2.44, 5 Ni 2.49-2.57
Tm (0.0000, 0.0000, 0.0000)  6 Ge 2.96, 12 Ni 3.20
Tm (0.1416, 0.1416, 0.5751)  12 Ni 2.93-3.02, 3 Tm 3.19
Tm (0.8584, 0.8584, 0.4249)  12 Ni 2.93-3.02, 3 Tm 3.19
Ge (0.3323, 0.3323, 0.0031)  6 Ni 2.41-2.44
Ge (0.6677, 0.6677, 0.9969)  6 Ni 2.41-2.44

Summary:
As for the space group: No. 166. The relative energy among the computed polymorphs comes out at 0 meV/atom. Its formation energy is -0.533 eV/atom. The calculation puts the density of states at the Fermi level at 7.935 states/eV/f.u. As for the crystal system: trigonal.

=====

9.
Material: Tm2Ni12Ge7
Method: DFT, PBE
State: relaxed

a = 3.7634 Å, b = 9.4055 Å, c = 9.4055 Å
α = 120.00°, β = 90.00°, γ = 90.00°
Last column: nearest neighbours and their distance in Å.
Positions (direct):
Ni (0.5000, 0.2206, 0.4625)  5 Ge 2.44-2.58, 1 Ni 2.70
Ni (0.0000, 0.2807, 0.0622)  4 Ge 2.34-2.37
Ni (0.0000, 0.4856, 0.9492)  4 Ge 2.30-2.37
Ni (0.5000, 0.2419, 0.7794)  5 Ge 2.44-2.58, 1 Ni 2.70
Ni (0.5000, 0.7054, 0.0892)  4 Ge 2.39-2.43, 2 Ni 2.61
Ni (0.0000, 0.4636, 0.5144)  4 Ge 2.30-2.37
Ni (0.5000, 0.9108, 0.6162)  4 Ge 2.39-2.43, 2 Ni 2.61
Ni (0.0000, 0.0508, 0.5364)  4 Ge 2.30-2.37
Ni (0.5000, 0.5375, 0.7581)  5 Ge 2.44-2.58, 1 Ni 2.70
Ni (0.5000, 0.3838, 0.2946)  4 Ge 2.39-2.43, 2 Ni 2.61
Ni (0.0000, 0.9378, 0.2185)  4 Ge 2.34-2.37
Ni (0.0000, 0.7815, 0.7193)  4 Ge 2.34-2.37
Tm (0.5000, 0.0000, 0.0000)  6 Ge 2.97, 9 Ni 3.05-3.27
Tm (0.0000, 0.6667, 0.3333)  6 Ge 2.97, 12 Ni 3.13-3.23
Ge (0.5000, 0.4399, 0.0737)  7 Ni 2.37-2.44
Ge (0.0000, 0.3333, 0.6667)  9 Ni 2.30-2.51
Ge (0.5000, 0.6338, 0.5601)  7 Ni 2.37-2.44
Ge (0.0000, 0.7303, 0.9388)  7 Ni 2.34-2.58
Ge (0.5000, 0.9263, 0.3662)  7 Ni 2.37-2.44
Ge (0.0000, 0.2086, 0.2697)  7 Ni 2.34-2.58
Ge (0.0000, 0.0612, 0.7914)  7 Ni 2.34-2.58

Summary:
As for the space group: No. 174. Its formation energy is -0.492 eV/atom. The calculation puts the density of states at the Fermi level at 11.005 states/eV/f.u. As for the crystal system: hexagonal.

=====

10.
Material: Tm8Ni2Ge
Method: DFT, PBE
State: relaxed

a = 5.8313 Å, b = 7.4001 Å, c = 7.4001 Å
α = 113.16°, β = 98.93°, γ = 98.93°
Last column: nearest neighbours and their distance in Å.
Positions (direct):
Tm (0.5825, 0.0769, 0.3390)  2 Ni 2.70-2.73
Tm (0.9816, 0.7713, 0.2257)  1 Ge 2.95, 2 Ni 3.01-3.18, 1 Tm 3.28
Tm (0.9816, 0.2257, 0.7713)  1 Ge 2.95, 2 Ni 3.01-3.18, 1 Tm 3.28
Tm (0.8019, 0.6390, 0.6390)  2 Ni 2.95, 1 Ge 3.10
Tm (0.5825, 0.3390, 0.0769)  2 Ni 2.70-2.73
Tm (0.3719, 0.6575, 0.9258)  2 Ni 2.73-2.76, 1 Ge 3.00
Tm (0.3719, 0.9258, 0.6575)  2 Ni 2.73-2.76, 1 Ge 3.00
Tm (0.1847, 0.3808, 0.3808)  2 Ni 2.97, 1 Ge 2.98
Ge (0.1408, 0.0076, 0.0076)  8 Tm 2.95-3.10
Ni (0.5001, 0.6945, 0.3158)  7 Tm 2.70-3.01
Ni (0.5001, 0.3158, 0.6945)  7 Tm 2.70-3.01

Summary:
As for the space group: No. 8. Its formation energy is -0.228 eV/atom. The calculation puts the density of states at the Fermi level at 11.499 states/eV/f.u. As for the crystal system: monoclinic.